DFT (PBE-GGA) results for crystalline La4Tb2Pr2Dy at its relaxed geometry.

It has space group C2/m (No. 12), with a = 15.6113 Å, b = 5.2015 Å, c = 8.2010 Å, α = 90.00°, β = 108.65° and γ = 90.00°. The distinct sites, in fractional coordinates, are La at (0.0543, 0.0000, 0.3333), La at (0.2228, 0.5000, 0.3336), Tb at (0.1110, 0.5000, 0.6694), Pr at (0.1660, 0.0000, 0.0007) and Dy at (0.0000, 0.5000, 0.0000).

Its mass density is 6.94 g/cm3. Its formation energy is 0.020 eV/atom.